# HgIr2Os, optimized geometry, DFT PBE-GGA
# - Final energy: -6.757 eV/atom
# - Total magnetization: 0.65 μB per formula unit
# - Energy of formation from the pure elements: 2.2 eV/f.u.
# - Crystal system: orthorhombic
data_HgIr2Os
_space_group_name_H-M_alt 'C m m m'
_space_group_IT_number 65
_space_group_name_Hall '-C 2 2'
_cell_length_a 2.771
_cell_length_b 4.859
_cell_length_c 9.714
_cell_angle_alpha 90.00
_cell_angle_beta 90.00
_cell_angle_gamma 90.00
loop_
_atom_site_label
_atom_site_fract_x
_atom_site_fract_y
_atom_site_fract_z
_atom_site_occupancy
Hg1 0.000 0.000 0.000 1
Ir1 0.000 0.500 0.269 1
Os1 0.000 0.000 0.500 1